## P
DFT (PBE) results for an optimized crystal structure of Pm4Pb2Se.

The density of states at the Fermi level is 8.79 states/eV per cell.

abc: 5.378 5.378 16.625
angles: 90.00 90.00 90.00
Fractional positions:
Pm (0.000, 0.000, 0.173)
Pm (0.000, 0.000, 0.827)
Pm (0.000, 0.500, 0.000)
Pm (0.000, 0.500, 0.500)
Pm (0.500, 0.000, 0.000)
Pm (0.500, 0.000, 0.500)
Pm (0.500, 0.500, 0.327)
Pm (0.500, 0.500, 0.673)
Pb (0.000, 0.000, 0.366)
Pb (0.000, 0.000, 0.634)
Pb (0.500, 0.500, 0.134)
Pb (0.500, 0.500, 0.866)
Se (0.000, 0.000, 0.000)
Se (0.500, 0.500, 0.500)


## Q
DFT (PBE) results for an optimized crystal structure of Pm4Pb2Se.

The density of states at the Fermi level is 12.04 states/eV per cell.

abc: 6.961 6.783 9.948
angles: 90.00 109.99 90.00
Fractional positions:
Pm (0.007, 0.002, 0.254)
Pm (0.007, 0.498, 0.254)
Pm (0.423, 0.250, 0.574)
Pm (0.436, 0.250, 0.138)
Pm (0.564, 0.750, 0.862)
Pm (0.577, 0.750, 0.426)
Pm (0.993, 0.502, 0.746)
Pm (0.993, 0.998, 0.746)
Pb (0.182, 0.750, 0.043)
Pb (0.203, 0.750, 0.550)
Pb (0.797, 0.250, 0.450)
Pb (0.818, 0.250, 0.957)
Se (0.350, 0.250, 0.839)
Se (0.650, 0.750, 0.161)


Pick Q: it beats the second-best structure by 85 meV/atom.


## P
DFT (PBE) results for an optimized crystal structure of Pm3SmPb4.

The density of states at the Fermi level is 20.22 states/eV per cell.

abc: 8.898 12.854 4.657
angles: 90.00 90.00 90.00
Fractional positions:
Pm (0.000, 0.000, 0.000)
Pm (0.250, 0.250, 0.500)
Pm (0.250, 0.750, 0.500)
Pm (0.500, 0.500, 0.000)
Pm (0.750, 0.250, 0.500)
Pm (0.750, 0.750, 0.500)
Sm (0.000, 0.500, 0.000)
Sm (0.500, 0.000, 0.000)
Pb (0.000, 0.250, 0.000)
Pb (0.000, 0.750, 0.000)
Pb (0.249, 0.500, 0.500)
Pb (0.251, 0.000, 0.500)
Pb (0.500, 0.250, 0.000)
Pb (0.500, 0.750, 0.000)
Pb (0.749, 0.000, 0.500)
Pb (0.751, 0.500, 0.500)


## Q
DFT (PBE) results for an optimized crystal structure of Pm3SmPb4.

The density of states at the Fermi level is 16.41 states/eV per cell.

abc: 18.865 5.108 5.107
angles: 90.00 105.54 90.00
Fractional positions:
Pm (0.000, 0.000, 0.000)
Pm (0.250, 0.000, 0.250)
Pm (0.250, 0.500, 0.750)
Pm (0.500, 0.500, 0.000)
Pm (0.750, 0.000, 0.750)
Pm (0.750, 0.500, 0.250)
Sm (0.000, 0.500, 0.500)
Sm (0.500, 0.000, 0.500)
Pb (0.125, 0.000, 0.625)
Pb (0.125, 0.500, 0.125)
Pb (0.375, 0.000, 0.875)
Pb (0.375, 0.500, 0.375)
Pb (0.625, 0.000, 0.125)
Pb (0.625, 0.500, 0.625)
Pb (0.875, 0.000, 0.375)
Pb (0.875, 0.500, 0.875)


Pick Q: it beats the second-best structure by 100 meV/atom.


## P
DFT (PBE) results for an optimized crystal structure of PmSmPb.

The density of states at the Fermi level is 6.53 states/eV per cell.

abc: 4.642 4.642 8.867
angles: 90.00 90.00 90.00
Fractional positions:
Pm (0.250, 0.750, 0.000)
Pm (0.750, 0.250, 0.000)
Sm (0.250, 0.250, 0.347)
Sm (0.750, 0.750, 0.653)
Pb (0.250, 0.250, 0.714)
Pb (0.750, 0.750, 0.286)


## Q
DFT (PBE) results for an optimized crystal structure of PmSmPb.

The density of states at the Fermi level is 8.44 states/eV per cell.

abc: 4.217 4.217 10.122
angles: 90.00 90.00 90.00
Fractional positions:
Pm (0.000, 0.000, 0.000)
Pm (0.500, 0.500, 0.500)
Sm (0.000, 0.000, 0.315)
Sm (0.500, 0.500, 0.815)
Pb (0.000, 0.000, 0.658)
Pb (0.500, 0.500, 0.158)


## R
DFT (PBE) results for an optimized crystal structure of PmSmPb.

The density of states at the Fermi level is 16.11 states/eV per cell.

abc: 7.507 7.507 7.507
angles: 90.00 90.00 90.00
Fractional positions:
Pm (0.000, 0.000, 0.000)
Pm (0.000, 0.500, 0.500)
Pm (0.500, 0.000, 0.500)
Pm (0.500, 0.500, 0.000)
Sm (0.000, 0.000, 0.500)
Sm (0.000, 0.500, 0.000)
Sm (0.500, 0.000, 0.000)
Sm (0.500, 0.500, 0.500)
Pb (0.250, 0.250, 0.250)
Pb (0.250, 0.750, 0.750)
Pb (0.750, 0.250, 0.750)
Pb (0.750, 0.750, 0.250)


Pick P: it beats the second-best structure by 109 meV/atom.


## P
DFT (PBE) results for an optimized crystal structure of Pm2Sm3Pb4.

The density of states at the Fermi level is 6.29 states/eV per cell.

abc: 8.908 8.908 6.872
angles: 103.12 103.12 32.44
Fractional positions:
Pm (0.166, 0.166, 0.080)
Pm (0.834, 0.834, 0.920)
Sm (0.389, 0.389, 0.425)
Sm (0.500, 0.500, 0.000)
Sm (0.611, 0.611, 0.575)
Pb (0.006, 0.006, 0.283)
Pb (0.245, 0.245, 0.682)
Pb (0.755, 0.755, 0.318)
Pb (0.994, 0.994, 0.717)


## Q
DFT (PBE) results for an optimized crystal structure of Pm2Sm3Pb4.

The density of states at the Fermi level is 6.59 states/eV per cell.

abc: 6.344 6.344 10.286
angles: 96.23 96.23 45.95
Fractional positions:
Pm (0.178, 0.178, 0.316)
Pm (0.822, 0.822, 0.684)
Sm (0.127, 0.127, 0.922)
Sm (0.500, 0.500, 0.500)
Sm (0.873, 0.873, 0.078)
Pb (0.142, 0.142, 0.620)
Pb (0.410, 0.410, 0.868)
Pb (0.590, 0.590, 0.132)
Pb (0.858, 0.858, 0.380)


Pick P: it beats the second-best structure by 50 meV/atom.


## P
DFT (PBE) results for an optimized crystal structure of PmSmTePb.

The density of states at the Fermi level is 13.15 states/eV per cell.

abc: 7.797 7.797 7.797
angles: 90.00 90.00 90.00
Fractional positions:
Pm (0.000, 0.000, 0.000)
Pm (0.000, 0.500, 0.500)
Pm (0.500, 0.000, 0.500)
Pm (0.500, 0.500, 0.000)
Sm (0.000, 0.000, 0.500)
Sm (0.000, 0.500, 0.000)
Sm (0.500, 0.000, 0.000)
Sm (0.500, 0.500, 0.500)
Te (0.250, 0.250, 0.750)
Te (0.250, 0.750, 0.250)
Te (0.750, 0.250, 0.250)
Te (0.750, 0.750, 0.750)
Pb (0.250, 0.250, 0.250)
Pb (0.250, 0.750, 0.750)
Pb (0.750, 0.250, 0.750)
Pb (0.750, 0.750, 0.250)


## Q
DFT (PBE) results for an optimized crystal structure of PmSmTePb.

The density of states at the Fermi level is 4.34 states/eV per cell.

abc: 4.506 4.506 22.136
angles: 90.00 90.00 120.00
Fractional positions:
Pm (0.000, 0.000, 0.000)
Pm (0.333, 0.667, 0.667)
Pm (0.667, 0.333, 0.333)
Sm (0.000, 0.000, 0.496)
Sm (0.333, 0.667, 0.162)
Sm (0.667, 0.333, 0.829)
Te (0.000, 0.000, 0.247)
Te (0.333, 0.667, 0.914)
Te (0.667, 0.333, 0.581)
Pb (0.000, 0.000, 0.748)
Pb (0.333, 0.667, 0.415)
Pb (0.667, 0.333, 0.082)


Pick Q: it beats the second-best structure by 249 meV/atom.


## P
DFT (PBE) results for an optimized crystal structure of Pm5Sn2Pb.

The density of states at the Fermi level is 17.93 states/eV per cell.

abc: 9.278 9.278 9.278
angles: 126.53 126.53 79.02
Fractional positions:
Pm (0.000, 0.000, 0.000)
Pm (0.014, 0.514, 0.824)
Pm (0.190, 0.014, 0.500)
Pm (0.310, 0.810, 0.824)
Pm (0.486, 0.310, 0.500)
Pm (0.500, 0.500, 0.000)
Pm (0.514, 0.690, 0.500)
Pm (0.690, 0.190, 0.176)
Pm (0.810, 0.986, 0.500)
Pm (0.986, 0.486, 0.176)
Sn (0.137, 0.363, 0.500)
Sn (0.363, 0.863, 0.226)
Sn (0.637, 0.137, 0.774)
Sn (0.863, 0.637, 0.500)
Pb (0.250, 0.250, 0.000)
Pb (0.750, 0.750, 0.000)


## Q
DFT (PBE) results for an optimized crystal structure of Pm5Sn2Pb.

The density of states at the Fermi level is 12.11 states/eV per cell.

abc: 5.788 5.788 18.006
angles: 90.00 90.00 122.78
Fractional positions:
Pm (0.088, 0.912, 0.598)
Pm (0.088, 0.912, 0.902)
Pm (0.224, 0.776, 0.250)
Pm (0.409, 0.591, 0.580)
Pm (0.409, 0.591, 0.920)
Pm (0.591, 0.409, 0.080)
Pm (0.591, 0.409, 0.420)
Pm (0.776, 0.224, 0.750)
Pm (0.912, 0.088, 0.098)
Pm (0.912, 0.088, 0.402)
Sn (0.245, 0.755, 0.074)
Sn (0.245, 0.755, 0.426)
Sn (0.755, 0.245, 0.574)
Sn (0.755, 0.245, 0.926)
Pb (0.455, 0.545, 0.750)
Pb (0.545, 0.455, 0.250)


Pick P: it beats the second-best structure by 174 meV/atom.


## P
DFT (PBE) results for an optimized crystal structure of Pm3SnPb2.

The density of states at the Fermi level is 7.20 states/eV per cell.

abc: 4.785 11.301 7.067
angles: 90.00 90.00 90.00
Fractional positions:
Pm (0.000, 0.058, 0.000)
Pm (0.000, 0.270, 0.491)
Pm (0.000, 0.730, 0.991)
Pm (0.000, 0.942, 0.500)
Pm (0.500, 0.377, 0.004)
Pm (0.500, 0.623, 0.504)
Sn (0.500, 0.137, 0.277)
Sn (0.500, 0.863, 0.777)
Pb (0.000, 0.497, 0.749)
Pb (0.000, 0.503, 0.249)
Pb (0.500, 0.141, 0.719)
Pb (0.500, 0.859, 0.219)


## Q
DFT (PBE) results for an optimized crystal structure of Pm3SnPb2.

The density of states at the Fermi level is 21.33 states/eV per cell.

abc: 13.142 4.665 12.258
angles: 90.00 90.00 90.00
Fractional positions:
Pm (0.051, 0.250, 0.116)
Pm (0.124, 0.750, 0.562)
Pm (0.238, 0.250, 0.790)
Pm (0.262, 0.750, 0.290)
Pm (0.376, 0.250, 0.062)
Pm (0.449, 0.750, 0.616)
Pm (0.551, 0.250, 0.384)
Pm (0.624, 0.750, 0.938)
Pm (0.738, 0.250, 0.710)
Pm (0.762, 0.750, 0.210)
Pm (0.876, 0.250, 0.438)
Pm (0.949, 0.750, 0.884)
Sn (0.121, 0.250, 0.378)
Sn (0.379, 0.750, 0.878)
Sn (0.621, 0.250, 0.122)
Sn (0.879, 0.750, 0.622)
Pb (0.012, 0.250, 0.714)
Pb (0.185, 0.750, 0.014)
Pb (0.315, 0.250, 0.514)
Pb (0.488, 0.750, 0.214)
Pb (0.512, 0.250, 0.786)
Pb (0.685, 0.750, 0.486)
Pb (0.815, 0.250, 0.986)
Pb (0.988, 0.750, 0.286)


Pick P: it beats the second-best structure by 69 meV/atom.


## P
DFT (PBE) results for an optimized crystal structure of Pm2Sn3Pb.

The density of states at the Fermi level is 6.31 states/eV per cell.

abc: 4.468 16.093 4.704
angles: 90.00 90.00 90.00
Fractional positions:
Pm (0.000, 0.147, 0.000)
Pm (0.000, 0.853, 0.000)
Pm (0.500, 0.353, 0.000)
Pm (0.500, 0.647, 0.000)
Sn (0.000, 0.315, 0.500)
Sn (0.000, 0.500, 0.000)
Sn (0.000, 0.685, 0.500)
Sn (0.500, 0.000, 0.000)
Sn (0.500, 0.185, 0.500)
Sn (0.500, 0.815, 0.500)
Pb (0.000, 0.000, 0.500)
Pb (0.500, 0.500, 0.500)


## Q
DFT (PBE) results for an optimized crystal structure of Pm2Sn3Pb.

The density of states at the Fermi level is 9.05 states/eV per cell.

abc: 3.440 5.845 18.339
angles: 90.00 90.00 90.00
Fractional positions:
Pm (0.000, 0.000, 0.153)
Pm (0.000, 0.000, 0.847)
Pm (0.500, 0.500, 0.347)
Pm (0.500, 0.500, 0.653)
Sn (0.000, 0.000, 0.329)
Sn (0.000, 0.000, 0.671)
Sn (0.000, 0.500, 0.500)
Sn (0.500, 0.000, 0.000)
Sn (0.500, 0.500, 0.171)
Sn (0.500, 0.500, 0.829)
Pb (0.000, 0.000, 0.500)
Pb (0.500, 0.500, 0.000)


Pick P: it beats the second-best structure by 314 meV/atom.


## P
DFT (PBE) results for an optimized crystal structure of Pm2SnPb2.

The density of states at the Fermi level is 7.49 states/eV per cell.

abc: 3.655 6.299 13.893
angles: 85.04 82.45 73.16
Fractional positions:
Pm (0.024, 0.134, 0.318)
Pm (0.159, 0.271, 0.908)
Pm (0.841, 0.729, 0.092)
Pm (0.976, 0.866, 0.682)
Sn (0.315, 0.589, 0.282)
Sn (0.685, 0.411, 0.718)
Pb (0.357, 0.259, 0.526)
Pb (0.427, 0.755, 0.887)
Pb (0.573, 0.245, 0.113)
Pb (0.643, 0.741, 0.474)


## Q
DFT (PBE) results for an optimized crystal structure of Pm2SnPb2.

The density of states at the Fermi level is 12.06 states/eV per cell.

abc: 4.247 4.247 17.825
angles: 90.00 90.00 90.00
Fractional positions:
Pm (0.000, 0.000, 0.099)
Pm (0.000, 0.000, 0.901)
Pm (0.500, 0.500, 0.401)
Pm (0.500, 0.500, 0.599)
Sn (0.000, 0.000, 0.500)
Sn (0.500, 0.500, 0.000)
Pb (0.000, 0.500, 0.250)
Pb (0.000, 0.500, 0.750)
Pb (0.500, 0.000, 0.250)
Pb (0.500, 0.000, 0.750)


Pick P: it beats the second-best structure by 162 meV/atom.


## P
DFT (PBE) results for an optimized crystal structure of Pm2Sn4Pb.

The density of states at the Fermi level is 7.95 states/eV per cell.

abc: 9.336 9.379 6.660
angles: 90.00 134.14 90.00
Fractional positions:
Pm (0.250, 0.250, 0.000)
Pm (0.250, 0.750, 0.000)
Pm (0.750, 0.250, 0.000)
Pm (0.750, 0.750, 0.000)
Sn (0.000, 0.000, 0.500)
Sn (0.000, 0.500, 0.500)
Sn (0.250, 0.250, 0.500)
Sn (0.250, 0.750, 0.500)
Sn (0.500, 0.000, 0.500)
Sn (0.500, 0.500, 0.500)
Sn (0.750, 0.250, 0.500)
Sn (0.750, 0.750, 0.500)
Pb (0.000, 0.000, 0.000)
Pb (0.500, 0.500, 0.000)


## Q
DFT (PBE) results for an optimized crystal structure of Pm2Sn4Pb.

The density of states at the Fermi level is 4.06 states/eV per cell.

abc: 4.482 4.482 10.320
angles: 90.00 90.00 90.00
Fractional positions:
Pm (0.000, 0.500, 0.244)
Pm (0.500, 0.000, 0.756)
Sn (0.000, 0.000, 0.000)
Sn (0.000, 0.500, 0.709)
Sn (0.500, 0.000, 0.291)
Sn (0.500, 0.500, 0.000)
Pb (0.000, 0.000, 0.500)


Pick P: it beats the second-best structure by 19 meV/atom.


## P
DFT (PBE) results for an optimized crystal structure of Pm5SnPb2.

The density of states at the Fermi level is 17.47 states/eV per cell.

abc: 9.251 9.251 9.251
angles: 125.74 125.74 80.31
Fractional positions:
Pm (0.000, 0.000, 0.000)
Pm (0.008, 0.508, 0.820)
Pm (0.188, 0.008, 0.500)
Pm (0.312, 0.812, 0.820)
Pm (0.492, 0.312, 0.500)
Pm (0.500, 0.500, 0.000)
Pm (0.508, 0.688, 0.500)
Pm (0.688, 0.188, 0.180)
Pm (0.812, 0.992, 0.500)
Pm (0.992, 0.492, 0.180)
Sn (0.250, 0.250, 0.000)
Sn (0.750, 0.750, 0.000)
Pb (0.141, 0.359, 0.500)
Pb (0.359, 0.859, 0.218)
Pb (0.641, 0.141, 0.782)
Pb (0.859, 0.641, 0.500)


## Q
DFT (PBE) results for an optimized crystal structure of Pm5SnPb2.

The density of states at the Fermi level is 19.82 states/eV per cell.

abc: 7.131 7.131 9.364
angles: 90.00 90.00 90.00
Fractional positions:
Pm (0.000, 0.000, 0.000)
Pm (0.250, 0.250, 0.250)
Pm (0.250, 0.250, 0.750)
Pm (0.250, 0.750, 0.250)
Pm (0.250, 0.750, 0.750)
Pm (0.500, 0.500, 0.500)
Pm (0.750, 0.250, 0.250)
Pm (0.750, 0.250, 0.750)
Pm (0.750, 0.750, 0.250)
Pm (0.750, 0.750, 0.750)
Sn (0.000, 0.000, 0.500)
Sn (0.500, 0.500, 0.000)
Pb (0.000, 0.500, 0.000)
Pb (0.000, 0.500, 0.500)
Pb (0.500, 0.000, 0.000)
Pb (0.500, 0.000, 0.500)


Pick P: it beats the second-best structure by 117 meV/atom.